Below is crystalline SrTc2N3 at its relaxed geometry, with properties calculated at the PBE level.

Output
E, eV per atom: -7.695
Symmetry: Imma (74)

Lattice parameters (Å, degrees): 6.1977 6.1977 6.1977 125.44 79.95 126.49
Last column: nearest neighbours and their distance in Å.
Fractional positions:
Sr (0.3767, 0.1267, 0.2500)  6 N 2.54-2.77
Sr (0.6233, 0.8733, 0.7500)  6 N 2.54-2.77
Tc (0.1165, 0.6894, 0.4271)  6 N 2.03-2.24
Tc (0.2376, 0.3106, 0.9271)  6 N 2.03-2.24
Tc (0.7624, 0.6894, 0.0729)  6 N 2.03-2.24
Tc (0.8835, 0.3106, 0.5729)  6 N 2.03-2.24
N (0.0000, 0.0000, 0.5000)  4 Tc 2.23
N (0.0000, 0.2196, 0.2196)  4 Tc 2.03-2.24
N (0.0000, 0.5000, 0.0000)  4 Tc 2.23
N (0.0000, 0.7804, 0.7804)  4 Tc 2.03-2.24
N (0.5000, 0.2196, 0.7196)  4 Tc 2.03-2.24
N (0.5000, 0.7804, 0.2804)  4 Tc 2.03-2.24